# 1
A plane-wave DFT calculation with meta-GGA SCAN was carried out for a crystal of NaYAsBr2 relaxed with PBEsol.

a = 5.5250 Å, b = 5.5157 Å, c = 5.5157 Å
α = 90.00°, β = 90.00°, γ = 90.00°
Last column: nearest neighbours and their distance in Å.
Atoms (fractional coordinates):
Na 0.5000 0.5000 0.5000  4 As 3.90, 8 Br 3.90
Br 0.0000 0.5000 0.0000  2 Y 2.76
Br 0.0000 0.0000 0.5000  2 Y 2.76
Y 0.0000 0.0000 0.0000  4 Br 2.76, 2 As 2.76
As 0.5000 0.0000 0.0000  2 Y 2.76

Output
Density of states at the Fermi level   3.6 states/eV/f.u.
Energy relative to the elements, uncorrected   -1.142 eV per atom
Total moment   0.200 μB per atom

***

# 2
A plane-wave DFT calculation with meta-GGA SCAN was carried out for a crystal of Te2Se relaxed with PBEsol.

a = 4.1519 Å, b = 4.1519 Å, c = 5.5782 Å
α = 90.00°, β = 90.00°, γ = 120.00°
Last column: nearest neighbours and their distance in Å.
Atoms (fractional coordinates):
Se 0.0000 0.0000 0.0000  6 Te 3.03
Te 0.3333 0.6667 0.3320  3 Se 3.03, 3 Te 3.04
Te 0.6667 0.3333 0.6680  3 Se 3.03, 3 Te 3.04

Output
Density of states at the Fermi level   1.2 states/eV/f.u.
Energy relative to the elements, uncorrected   0.031 eV per atom
E above lowest polymorph   0 meV/atom
Total moment   0.000 μB per atom

***

# 3
A plane-wave DFT calculation with meta-GGA SCAN was carried out for a crystal of LaCuSe3 relaxed with PBEsol.

a = 5.6388 Å, b = 5.6388 Å, c = 5.6388 Å
α = 90.00°, β = 90.00°, γ = 90.00°
Last column: nearest neighbours and their distance in Å.
Atoms (fractional coordinates):
Cu 0.5000 0.5000 0.5000  12 Se 3.99
Se 0.0000 0.0000 0.5000  2 La 2.82
Se 0.5000 0.0000 0.0000  2 La 2.82
Se 0.0000 0.5000 0.0000  2 La 2.82
La 0.0000 0.0000 0.0000  6 Se 2.82

Output
Density of states at the Fermi level   8.5 states/eV/f.u.
Energy relative to the elements, uncorrected   0.104 eV per atom
E above lowest polymorph   1070 meV/atom
Total moment   0.000 μB per atom

***

# 4
A plane-wave DFT calculation with meta-GGA SCAN was carried out for a crystal of CaTi2Ir relaxed with PBEsol.

a = 4.5652 Å, b = 4.5652 Å, c = 4.5652 Å
α = 60.00°, β = 60.00°, γ = 60.00°
Last column: nearest neighbours and their distance in Å.
Atoms (fractional coordinates):
Ti 0.2500 0.2500 0.2500  4 Ir 2.80, 4 Ca 2.80
Ti 0.7500 0.7500 0.7500  4 Ir 2.80, 4 Ca 2.80
Ir 0.5000 0.5000 0.5000  8 Ti 2.80
Ca 0.0000 0.0000 0.0000  8 Ti 2.80

Output
VASP energy   -28.38 eV per atom
Density of states at the Fermi level   5.2 states/eV/f.u.
Total moment   0.001 μB per atom

***

> What is the density of states at the Fermi level in the first record?

3.6 states/eV/f.u.

***

> Number 2 is which compound?

Te2Se

***

Copy entry 2 word for word.
A plane-wave DFT calculation with meta-GGA SCAN was carried out for a crystal of Te2Se relaxed with PBEsol.

a = 4.1519 Å, b = 4.1519 Å, c = 5.5782 Å
α = 90.00°, β = 90.00°, γ = 120.00°
Last column: nearest neighbours and their distance in Å.
Atoms (fractional coordinates):
Se 0.0000 0.0000 0.0000  6 Te 3.03
Te 0.3333 0.6667 0.3320  3 Se 3.03, 3 Te 3.04
Te 0.6667 0.3333 0.6680  3 Se 3.03, 3 Te 3.04

Output
Density of states at the Fermi level   1.2 states/eV/f.u.
Energy relative to the elements, uncorrected   0.031 eV per atom
E above lowest polymorph   0 meV/atom
Total moment   0.000 μB per atom